Entry 1:
{
  "formula": "LaBeGeIr",
  "functional": "PBE-GGA",
  "state": "optimized geometry",
  "relative_energy_kj_per_mol_atoms": 0.0,
  "spacegroup": "F-43m (216)",
  "cell": [[0.000, 3.272, 3.272], [3.272, 0.000, 3.272], [3.272, 3.272, 0.000]],
  "species": ["Be", "Ge", "Ir", "La"],
  "frac_coords": [[0.750, 0.750, 0.750], [0.250, 0.250, 0.250], [0.000, 0.000, 0.000], [0.500, 0.500, 0.500]]
}



Entry 2:
{
  "formula": "YMgAg",
  "functional": "PBE-GGA",
  "state": "optimized geometry",
  "e_tot_ev_per_fu": -11.72,
  "spacegroup": "P-62m (189)",
  "cell": [[-7.047, -0.164, 2.649], [4.910, -5.337, 2.029], [1.204, 2.382, 3.352]],
  "species": ["Ag", "Ag", "Ag", "Mg", "Mg", "Mg", "Y", "Y", "Y"],
  "frac_coords": [[0.667, 0.333, 0.000], [0.333, 0.667, 0.000], [0.000, 0.000, 0.500], [0.243, 0.000, 0.000], [0.000, 0.243, 0.000], [0.757, 0.757, 0.000], [0.584, 0.000, 0.500], [0.416, 0.416, 0.500], [0.000, 0.584, 0.500]]
}



Entry 3:
{
  "formula": "AcTmPO",
  "functional": "PBE-GGA",
  "state": "optimized geometry",
  "relative_energy_kj_per_mol_atoms": 2.6,
  "spacegroup": "P4/nmm (129)",
  "cell": [[3.155, -3.155, 0.000], [3.155, 3.155, 0.000], [0.000, 0.000, 9.261]],
  "species": ["Ac", "Ac", "O", "O", "P", "P", "Tm", "Tm"],
  "frac_coords": [[0.250, 0.250, 0.124], [0.750, 0.750, 0.876], [0.750, 0.250, 0.000], [0.250, 0.750, 0.000], [0.750, 0.750, 0.330], [0.250, 0.250, 0.670], [0.750, 0.250, 0.500], [0.250, 0.750, 0.500]]
}



Entry 4:
{
  "formula": "Rb2US4",
  "functional": "PBE-GGA",
  "state": "optimized geometry",
  "e_tot_ev_per_fu": -38.56,
  "spacegroup": "Pbam (55)",
  "cell": [[8.157, 0.000, 0.000], [0.000, 13.181, 0.000], [0.000, 0.000, 4.157]],
  "species": ["Rb", "Rb", "Rb", "Rb", "S", "S", "S", "S", "S", "S", "S", "S", "U", "U"],
  "frac_coords": [[0.570, 0.177, 0.500], [0.070, 0.323, 0.500], [0.930, 0.677, 0.500], [0.430, 0.823, 0.500], [0.880, 0.170, 0.000], [0.380, 0.330, 0.000], [0.620, 0.670, 0.000], [0.120, 0.830, 0.000], [0.186, 0.049, 0.500], [0.686, 0.451, 0.500], [0.314, 0.549, 0.500], [0.814, 0.951, 0.500], [0.000, 0.000, 0.000], [0.500, 0.500, 0.000]]
}



Entry 5:
{
  "formula": "DySiH2O4",
  "functional": "PBE-GGA",
  "state": "optimized geometry",
  "relative_energy_kj_per_mol_atoms": 0.6,
  "spacegroup": "Fdd2 (43)",
  "cell": [[-0.411, -5.577, -1.224], [3.134, 2.896, -3.816], [3.006, 0.390, 5.385]],
  "species": ["Dy", "Dy", "H", "H", "H", "H", "O", "O", "O", "O", "O", "O", "O", "O", "Si", "Si"],
  "frac_coords": [[0.514, 0.514, 0.000], [0.264, 0.764, 0.500], [0.369, 0.946, 0.046], [0.072, 0.150, 0.454], [0.696, 0.619, 0.546], [0.900, 0.322, 0.954], [0.072, 0.331, 0.079], [0.007, 0.891, 0.222], [0.534, 0.919, 0.278], [0.744, 0.502, 0.421], [0.081, 0.322, 0.579], [0.641, 0.257, 0.722], [0.669, 0.784, 0.778], [0.252, 0.994, 0.921], [0.992, 0.992, 0.000], [0.742, 0.242, 0.500]]
}



Entry 6:
{
  "formula": "Tb2HoIn3PtAu2",
  "functional": "PBE-GGA",
  "state": "optimized geometry",
  "e_tot_ev_per_fu": -42.17,
  "spacegroup": "Amm2 (38)",
  "cell": [[3.954, 0.000, 0.000], [0.000, 6.686, 3.863], [0.000, -6.686, 3.863]],
  "species": ["Au", "Au", "Ho", "In", "In", "In", "Pt", "Tb", "Tb"],
  "frac_coords": [[0.500, 0.666, 0.333], [0.500, 0.333, 0.666], [0.000, 0.401, 0.401], [0.500, 0.256, 0.000], [0.500, 0.000, 0.256], [0.500, 0.743, 0.743], [0.000, 0.000, 0.000], [0.000, 0.599, 0.000], [0.000, 0.000, 0.599]]
}